[1]
# RbCr PBE relaxed
data_RbCr
_cell_length_a 3.6901
_cell_length_b 3.6901
_cell_length_c 12.9768
_cell_angle_alpha 90.00
_cell_angle_beta 90.00
_cell_angle_gamma 120.00
_space_group_name_H-M_alt 'P 1'
_space_group_IT_number 1
_space_group_name_Hall 'P 1'
loop_
_atom_site_label
_atom_site_type_symbol
_atom_site_fract_x
_atom_site_fract_y
_atom_site_fract_z
Rb1 Rb 0.3333 0.6667 0.0000
Rb2 Rb 0.6667 0.3333 0.5000
Cr1 Cr 0.3333 0.6667 0.7356
Cr2 Cr 0.6667 0.3333 0.2356
# **Volume**: 76.5 Å³/f.u.
# **Distance to the lowest polymorph of the same formula**: 636.0 meV/atom
# **DFT formation energy**: 1.4617 eV/atom
# **Magnetization**: 9.79 μB/cell
# **Space group**: P6_3mc, No. 186
# **Total energy**: -3.83 eV/atom

---

[2]
# CaZrN2 PBE relaxed
data_CaZrN2
_cell_length_a 5.9493
_cell_length_b 5.9493
_cell_length_c 5.9493
_cell_angle_alpha 32.51
_cell_angle_beta 32.51
_cell_angle_gamma 32.51
_space_group_name_H-M_alt 'P 1'
_space_group_IT_number 1
_space_group_name_Hall 'P 1'
loop_
_atom_site_label
_atom_site_type_symbol
_atom_site_fract_x
_atom_site_fract_y
_atom_site_fract_z
Ca1 Ca 0.0000 0.0000 0.0000
Zr1 Zr 0.5000 0.5000 0.5000
N1 N 0.2388 0.2388 0.2388
N2 N 0.7612 0.7612 0.7612
# **Volume**: 54.1 Å³/f.u.
# **Formation energy (no corrections)**: -1.49 eV per atom
# **Magnetization**: 0.00 μB/cell
# **Space group**: R-3m, No. 166
# **Total energy**: -8.29 eV/atom

---

[3]
# CaCdHg5 PBE relaxed
data_CaCdHg5
_cell_length_a 4.9611
_cell_length_b 4.9611
_cell_length_c 7.5354
_cell_angle_alpha 90.00
_cell_angle_beta 90.00
_cell_angle_gamma 90.00
_space_group_name_H-M_alt 'P 1'
_space_group_IT_number 1
_space_group_name_Hall 'P 1'
loop_
_atom_site_label
_atom_site_type_symbol
_atom_site_fract_x
_atom_site_fract_y
_atom_site_fract_z
Ca1 Ca 0.0000 0.0000 0.0000
Cd1 Cd 0.0000 0.0000 0.5000
Hg1 Hg 0.0000 0.5000 0.2796
Hg2 Hg 0.0000 0.5000 0.7204
Hg3 Hg 0.5000 0.0000 0.2796
Hg4 Hg 0.5000 0.0000 0.7204
Hg5 Hg 0.5000 0.5000 0.0000
# **Volume**: 185.5 Å³/f.u.
# **DFT formation energy**: -0.2192 eV/atom
# **Magnetization**: 0.00 μB/cell
# **Space group**: P4/mmm, No. 123
# **Total energy**: -0.85 eV/atom

---

[4]
# Ba3Na4Li4 PBE relaxed
data_Ba3Na4Li4
_cell_length_a 10.4478
_cell_length_b 10.4478
_cell_length_c 10.4478
_cell_angle_alpha 150.14
_cell_angle_beta 129.27
_cell_angle_gamma 59.98
_space_group_name_H-M_alt 'P 1'
_space_group_IT_number 1
_space_group_name_Hall 'P 1'
loop_
_atom_site_label
_atom_site_type_symbol
_atom_site_fract_x
_atom_site_fract_y
_atom_site_fract_z
Ba1 Ba 0.0000 0.0000 0.0000
Ba2 Ba 0.3769 0.8769 0.5000
Ba3 Ba 0.6231 0.1231 0.5000
Na1 Na 0.0223 0.3286 0.6936
Na2 Na 0.3650 0.6714 0.6936
Na3 Na 0.6350 0.3286 0.3064
Na4 Na 0.9777 0.6714 0.3064
Li1 Li 0.2170 0.2170 0.0000
Li2 Li 0.3283 0.5000 0.8283
Li3 Li 0.6717 0.5000 0.1717
Li4 Li 0.7830 0.7830 0.0000
# **Volume**: 436.0 Å³/f.u.
# **DFT formation energy**: 0.0422 eV/atom
# **Magnetization**: 0.00 μB/cell
# **Space group**: Immm, No. 71
# **Total energy**: -1.66 eV/atom

---

[5]
# TbPu2ScSe4 PBE relaxed
data_TbPu2ScSe4
_cell_length_a 6.9977
_cell_length_b 4.0589
_cell_length_c 7.1020
_cell_angle_alpha 90.00
_cell_angle_beta 109.45
_cell_angle_gamma 90.00
_space_group_name_H-M_alt 'P 1'
_space_group_IT_number 1
_space_group_name_Hall 'P 1'
loop_
_atom_site_label
_atom_site_type_symbol
_atom_site_fract_x
_atom_site_fract_y
_atom_site_fract_z
Tb1 Tb 0.0000 0.0000 0.0000
Pu1 Pu 0.5000 0.0000 0.5000
Pu2 Pu 0.5000 0.5000 0.0000
Sc1 Sc 0.0000 0.5000 0.5000
Se1 Se 0.2359 0.0000 0.7385
Se2 Se 0.2413 0.5000 0.2554
Se3 Se 0.7587 0.5000 0.7446
Se4 Se 0.7641 0.0000 0.2615
# **Volume**: 190.2 Å³/f.u.
# **Formation energy (no corrections)**: -1.61 eV per atom
# **Magnetization**: 0.03 μB/cell
# **Space group**: P2/m, No. 10
# **Total energy**: -8.30 eV/atom

---

[6]
# RbReSiSn2 PBE relaxed
data_RbReSiSn2
_cell_length_a 5.1985
_cell_length_b 5.1985
_cell_length_c 5.9718
_cell_angle_alpha 90.00
_cell_angle_beta 90.00
_cell_angle_gamma 90.00
_space_group_name_H-M_alt 'P 1'
_space_group_IT_number 1
_space_group_name_Hall 'P 1'
loop_
_atom_site_label
_atom_site_type_symbol
_atom_site_fract_x
_atom_site_fract_y
_atom_site_fract_z
Rb1 Rb 0.0000 0.0000 0.0000
Re1 Re 0.0000 0.0000 0.5000
Si1 Si 0.5000 0.5000 0.0000
Sn1 Sn 0.0000 0.5000 0.5000
Sn2 Sn 0.5000 0.0000 0.5000
# **Volume**: 161.4 Å³/f.u.
# **Formation energy (no corrections)**: 1.12 eV per atom
# **Magnetization**: 2.16 μB/cell
# **Space group**: P4/mmm, No. 123
# **Total energy**: -4.25 eV/atom

---

[7]
# Tc2Pb PBE relaxed
data_Tc2Pb
_cell_length_a 4.2523
_cell_length_b 4.2523
_cell_length_c 7.1983
_cell_angle_alpha 90.00
_cell_angle_beta 90.00
_cell_angle_gamma 120.00
_space_group_name_H-M_alt 'P 1'
_space_group_IT_number 1
_space_group_name_Hall 'P 1'
loop_
_atom_site_label
_atom_site_type_symbol
_atom_site_fract_x
_atom_site_fract_y
_atom_site_fract_z
Tc1 Tc 0.3333 0.6667 0.0448
Tc2 Tc 0.3333 0.6667 0.4552
Tc3 Tc 0.6667 0.3333 0.5448
Tc4 Tc 0.6667 0.3333 0.9552
Pb1 Pb 0.0000 0.0000 0.2500
Pb2 Pb 0.0000 0.0000 0.7500
# **Volume**: 56.4 Å³/f.u.
# **Distance to the lowest polymorph of the same formula**: 236.8 meV/atom
# **DFT formation energy**: 0.6000 eV/atom
# **Magnetization**: 0.00 μB/cell
# **Space group**: P6_3/mmc, No. 194
# **Total energy**: -7.55 eV/atom

---

[8]
# RbBeCoBi2 PBE relaxed
data_RbBeCoBi2
_cell_length_a 5.0939
_cell_length_b 5.0939
_cell_length_c 5.7112
_cell_angle_alpha 90.00
_cell_angle_beta 90.00
_cell_angle_gamma 90.00
_space_group_name_H-M_alt 'P 1'
_space_group_IT_number 1
_space_group_name_Hall 'P 1'
loop_
_atom_site_label
_atom_site_type_symbol
_atom_site_fract_x
_atom_site_fract_y
_atom_site_fract_z
Rb1 Rb 0.0000 0.0000 0.0000
Be1 Be 0.0000 0.0000 0.5000
Co1 Co 0.5000 0.5000 0.0000
Bi1 Bi 0.0000 0.5000 0.5000
Bi2 Bi 0.5000 0.0000 0.5000
# **Volume**: 148.2 Å³/f.u.
# **DFT formation energy**: 0.9872 eV/atom
# **Magnetization**: 2.20 μB/cell
# **Space group**: P4/mmm, No. 123
# **Total energy**: -2.93 eV/atom

---

[9]
# ErPa3Ge4 PBE relaxed
data_ErPa3Ge4
_cell_length_a 7.1427
_cell_length_b 7.1427
_cell_length_c 4.1500
_cell_angle_alpha 90.00
_cell_angle_beta 90.00
_cell_angle_gamma 109.66
_space_group_name_H-M_alt 'P 1'
_space_group_IT_number 1
_space_group_name_Hall 'P 1'
loop_
_atom_site_label
_atom_site_type_symbol
_atom_site_fract_x
_atom_site_fract_y
_atom_site_fract_z
Er1 Er 0.0000 0.0000 0.0000
Pa1 Pa 0.0000 0.5000 0.5000
Pa2 Pa 0.5000 0.0000 0.5000
Pa3 Pa 0.5000 0.5000 0.0000
Ge1 Ge 0.2508 0.7492 0.0000
Ge2 Ge 0.2529 0.2529 0.5000
Ge3 Ge 0.7471 0.7471 0.5000
Ge4 Ge 0.7492 0.2508 0.0000
# **Volume**: 199.4 Å³/f.u.
# **DFT formation energy**: -0.5302 eV/atom
# **Magnetization**: 0.00 μB/cell
# **Space group**: Cmmm, No. 65
# **Total energy**: -6.97 eV/atom

---

[10]
# AcHfCu10 PBE relaxed
data_AcHfCu10
_cell_length_a 4.0991
_cell_length_b 5.0692
_cell_length_c 8.8284
_cell_angle_alpha 90.00
_cell_angle_beta 90.00
_cell_angle_gamma 90.00
_space_group_name_H-M_alt 'P 1'
_space_group_IT_number 1
_space_group_name_Hall 'P 1'
loop_
_atom_site_label
_atom_site_type_symbol
_atom_site_fract_x
_atom_site_fract_y
_atom_site_fract_z
Ac1 Ac 0.0000 0.0000 0.0000
Hf1 Hf 0.0000 0.5000 0.5000
Cu1 Cu 0.0000 0.0000 0.3486
Cu2 Cu 0.0000 0.0000 0.6514
Cu3 Cu 0.0000 0.5000 0.1904
Cu4 Cu 0.0000 0.5000 0.8096
Cu5 Cu 0.5000 0.0000 0.5000
Cu6 Cu 0.5000 0.2589 0.2672
Cu7 Cu 0.5000 0.2589 0.7328
Cu8 Cu 0.5000 0.5000 0.0000
Cu9 Cu 0.5000 0.7411 0.2672
Cu10 Cu 0.5000 0.7411 0.7328
# **Volume**: 183.4 Å³/f.u.
# **DFT formation energy**: -0.0646 eV/atom
# **Magnetization**: 0.00 μB/cell
# **Space group**: Pmmm, No. 47
# **Total energy**: -4.65 eV/atom

---

[11]
# H2PdPb PBE relaxed
data_H2PdPb
_cell_length_a 6.4267
_cell_length_b 6.4267
_cell_length_c 6.4267
_cell_angle_alpha 28.61
_cell_angle_beta 28.61
_cell_angle_gamma 28.61
_space_group_name_H-M_alt 'P 1'
_space_group_IT_number 1
_space_group_name_Hall 'P 1'
loop_
_atom_site_label
_atom_site_type_symbol
_atom_site_fract_x
_atom_site_fract_y
_atom_site_fract_z
H1 H 0.1356 0.1356 0.1356
H2 H 0.8644 0.8644 0.8644
Pd1 Pd 0.5000 0.5000 0.5000
Pb1 Pb 0.0000 0.0000 0.0000
# **Volume**: 53.8 Å³/f.u.
# **Distance to the lowest polymorph of the same formula**: 137.4 meV/atom
# **Magnetization**: 0.00 μB/cell
# **Space group**: R-3m, No. 166
# **Total energy**: -3.78 eV/atom

---

[12]
# MnReW2 PBE relaxed
data_MnReW2
_cell_length_a 3.1639
_cell_length_b 4.3236
_cell_length_c 4.3867
_cell_angle_alpha 90.00
_cell_angle_beta 90.00
_cell_angle_gamma 90.00
_space_group_name_H-M_alt 'P 1'
_space_group_IT_number 1
_space_group_name_Hall 'P 1'
loop_
_atom_site_label
_atom_site_type_symbol
_atom_site_fract_x
_atom_site_fract_y
_atom_site_fract_z
Mn1 Mn 0.0000 0.0000 0.0000
Re1 Re 0.5000 0.0000 0.5000
W1 W 0.0000 0.5000 0.5000
W2 W 0.5000 0.5000 0.0000
# **Volume**: 60.0 Å³/f.u.
# **Distance to the lowest polymorph of the same formula**: 5.9 meV/atom
# **DFT formation energy**: 0.0890 eV/atom
# **Magnetization**: 2.13 μB/cell
# **Space group**: Pmmm, No. 47
# **Total energy**: -11.79 eV/atom